KCoAuF6 | PBE with a Hubbard U | optimized geometry

Geometry as extended XYZ:
```
9
Lattice="-2.5737 -0.7081 5.1841 -2.5817 -4.7956 1.3166 4.5695 -1.9562 2.1633" Properties=species:S:1:pos:R:3 pbc="T T T"
K -2.5583 -4.7388 1.3323
Co -1.1486 -4.6304 5.4198
Au 0.5855 -2.7793 3.2488
F -2.0993 -3.1428 5.8877
F -0.2727 -6.2372 4.8744
F 0.4515 -3.7754 5.6162
F -1.1170 -5.1201 7.2649
F -1.1601 -4.0770 3.5971
F -2.7612 -5.6380 5.2305
```

Summary:
Crystal system ... triclinic
Density ... 4.48 Mg/m³
VASP energy ... -36.15 eV for the cell shown
Magnetic moment ... 1.10 μB per cell
Space group ... P1 (1)